Computed, not measured: KCa2Ta after structural relaxation at the PBE level of DFT.

The structure in CIF format:
```
data_KCa2Ta
_space_group_name_H-M_alt 'C m m m'
_space_group_IT_number 65
_space_group_name_Hall '-C 2 2'
_cell_length_a 8.148
_cell_length_b 9.189
_cell_length_c 3.398
_cell_angle_alpha 90.00
_cell_angle_beta 90.00
_cell_angle_gamma 90.00
loop_
_atom_site_label
_atom_site_type_symbol
_atom_site_fract_x
_atom_site_fract_y
_atom_site_fract_z
K1 K 0.000 0.000 0.000
Ca1 Ca 0.250 0.250 0.500
Ta1 Ta 0.000 0.500 0.000
```

Energy relative to the lowest polymorph listed for this composition ... 325 meV per atom
Crystal system ... orthorhombic
DFT formation energy ... 372 kJ/mol of formula units
Total magnetization ... 1.91 μB per formula unit

=====

Computed, not measured: SrLuAg2 after structural relaxation at the PBE level of DFT.

The structure in CIF format:
```
data_SrLuAg2
_space_group_name_H-M_alt 'P 4/m m m'
_space_group_IT_number 123
_space_group_name_Hall '-P 4 2'
_cell_length_a 5.323
_cell_length_b 5.323
_cell_length_c 3.631
_cell_angle_alpha 90.00
_cell_angle_beta 90.00
_cell_angle_gamma 90.00
loop_
_atom_site_label
_atom_site_type_symbol
_atom_site_fract_x
_atom_site_fract_y
_atom_site_fract_z
Sr1 Sr 0.000 0.000 0.000
Lu1 Lu 0.500 0.500 0.000
Ag1 Ag 0.000 0.500 0.500
```

Energy relative to the lowest polymorph listed for this composition ... 63 meV per atom
Crystal system ... tetragonal
DFT formation energy ... -87 kJ/mol of formula units
Total magnetization ... 0.00 μB per formula unit

=====

Computed, not measured: DyAlO3 after structural relaxation at the PBE level of DFT.

The structure in CIF format:
```
data_DyAlO3
_space_group_name_H-M_alt 'R -3'
_space_group_IT_number 148
_space_group_name_Hall '-R 3'
_cell_length_a 5.2501
_cell_length_b 5.2501
_cell_length_c 14.5107
_cell_angle_alpha 90.00
_cell_angle_beta 90.00
_cell_angle_gamma 120.00
loop_
_atom_site_label
_atom_site_type_symbol
_atom_site_fract_x
_atom_site_fract_y
_atom_site_fract_z
Dy1 Dy 0.0000 0.0000 0.1314
Al1 Al 0.0000 0.0000 0.3442
O1 O 0.0150 0.6212 0.9249
```

Energy relative to the elements, uncorrected ... -3.168 eV per atom
Crystal system ... trigonal
Total magnetization ... 0.00 μB per formula unit

=====

Computed, not measured: SnTe2RhN after structural relaxation at the PBE level of DFT.

The structure in CIF format:
```
data_SnTe2RhN
_space_group_name_H-M_alt 'P 4/m m m'
_space_group_IT_number 123
_space_group_name_Hall '-P 4 2'
_cell_length_a 5.718
_cell_length_b 5.718
_cell_length_c 3.833
_cell_angle_alpha 90.00
_cell_angle_beta 90.00
_cell_angle_gamma 90.00
loop_
_atom_site_label
_atom_site_type_symbol
_atom_site_fract_x
_atom_site_fract_y
_atom_site_fract_z
Sn1 Sn 0.000 0.000 0.000
Te1 Te 0.000 0.500 0.000
Rh1 Rh 0.500 0.500 0.500
N1 N 0.000 0.000 0.500
```

Energy relative to the lowest polymorph listed for this composition ... 937 meV per atom
Energy relative to the elements, uncorrected ... 1.184 eV per atom
Crystal system ... tetragonal
Total magnetization ... 0.85 μB per formula unit

=====

Computed, not measured: K3LiS after structural relaxation at the PBE level of DFT.

The structure in CIF format:
```
data_K3LiS
_space_group_name_H-M_alt 'P m -3 m'
_space_group_IT_number 221
_space_group_name_Hall '-P 4 2 3'
_cell_length_a 6.188
_cell_length_b 6.188
_cell_length_c 6.188
_cell_angle_alpha 90.00
_cell_angle_beta 90.00
_cell_angle_gamma 90.00
loop_
_atom_site_label
_atom_site_type_symbol
_atom_site_fract_x
_atom_site_fract_y
_atom_site_fract_z
K1 K 0.000 0.000 0.500
Li1 Li 0.500 0.500 0.500
S1 S 0.000 0.000 0.000
```

Energy relative to the lowest polymorph listed for this composition ... 0 meV per atom
Energy relative to the elements, uncorrected ... -0.465 eV per atom
Crystal system ... cubic
Total magnetization ... 0.00 μB per formula unit

=====

Computed, not measured: NiAs2P after structural relaxation at the PBE level of DFT.

The structure in CIF format:
```
data_NiAs2P
_space_group_name_H-M_alt 'P 4 m m'
_space_group_IT_number 99
_space_group_name_Hall 'P 4 -2'
_cell_length_a 3.228
_cell_length_b 3.228
_cell_length_c 6.513
_cell_angle_alpha 90.00
_cell_angle_beta 90.00
_cell_angle_gamma 90.00
loop_
_atom_site_label
_atom_site_type_symbol
_atom_site_fract_x
_atom_site_fract_y
_atom_site_fract_z
Ni1 Ni 0.000 0.000 0.000
As1 As 0.000 0.000 0.372
As2 As 0.500 0.500 0.804
P1 P 0.500 0.500 0.172
```

Crystal system ... tetragonal
DFT formation energy ... 64 kJ/mol of formula units
Total magnetization ... 0.00 μB per formula unit

=====

Computed, not measured: Dy4Tl2N after structural relaxation at the PBE level of DFT.

The structure in CIF format:
```
data_Dy4Tl2N
_space_group_name_H-M_alt 'I 4/m m m'
_space_group_IT_number 139
_space_group_name_Hall '-I 4 2'
_cell_length_a 4.746
_cell_length_b 4.746
_cell_length_c 15.829
_cell_angle_alpha 90.00
_cell_angle_beta 90.00
_cell_angle_gamma 90.00
loop_
_atom_site_label
_atom_site_type_symbol
_atom_site_fract_x
_atom_site_fract_y
_atom_site_fract_z
Dy1 Dy 0.000 0.000 0.164
Dy2 Dy 0.000 0.500 0.000
Tl1 Tl 0.000 0.000 0.362
N1 N 0.000 0.000 0.000
```

Energy relative to the lowest polymorph listed for this composition ... 0 meV per atom
Energy relative to the elements, uncorrected ... -0.697 eV per atom
Crystal system ... tetragonal
Total magnetization ... 0.00 μB per formula unit

=====

Computed, not measured: Tb3Te12Pd5 after structural relaxation at the PBE level of DFT.

The structure in CIF format:
```
data_Tb3Te12Pd5
_space_group_name_H-M_alt 'I a -3 d'
_space_group_IT_number 230
_space_group_name_Hall '-I 4bd 2c 3'
_cell_length_a 16.838
_cell_length_b 16.838
_cell_length_c 16.838
_cell_angle_alpha 90.00
_cell_angle_beta 90.00
_cell_angle_gamma 90.00
loop_
_atom_site_label
_atom_site_type_symbol
_atom_site_fract_x
_atom_site_fract_y
_atom_site_fract_z
Tb1 Tb 0.000 0.250 0.125
Te1 Te 0.023 0.060 0.648
Pd1 Pd 0.000 0.000 0.000
Pd2 Pd 0.000 0.250 0.375
```

Energy relative to the elements, uncorrected ... -0.578 eV per atom
Crystal system ... cubic
Total magnetization ... 0.00 μB per formula unit

=====

Computed, not measured: Na2TePS4 after structural relaxation at the PBE level of DFT.

The structure in CIF format:
```
data_Na2TePS4
_space_group_name_H-M_alt 'I -4'
_space_group_IT_number 82
_space_group_name_Hall 'I -4'
_cell_length_a 7.651
_cell_length_b 7.651
_cell_length_c 6.800
_cell_angle_alpha 90.00
_cell_angle_beta 90.00
_cell_angle_gamma 90.00
loop_
_atom_site_label
_atom_site_type_symbol
_atom_site_fract_x
_atom_site_fract_y
_atom_site_fract_z
Na1 Na 0.000 0.000 0.000
Na2 Na 0.000 0.500 0.250
Te1 Te 0.000 0.500 0.750
P1 P 0.000 0.000 0.500
S1 S 0.153 0.841 0.324
```

Energy relative to the elements, uncorrected ... -0.440 eV per atom
Crystal system ... tetragonal
Total magnetization ... 1.05 μB per formula unit

=====

Computed, not measured: Tb2UPaAs4 after structural relaxation at the PBE level of DFT.

The structure in CIF format:
```
data_Tb2UPaAs4
_space_group_name_H-M_alt 'P 1 2/m 1'
_space_group_IT_number 10
_space_group_name_Hall '-P 2y'
_cell_length_a 7.095
_cell_length_b 4.100
_cell_length_c 7.180
_cell_angle_alpha 90.00
_cell_angle_beta 109.29
_cell_angle_gamma 90.00
loop_
_atom_site_label
_atom_site_type_symbol
_atom_site_fract_x
_atom_site_fract_y
_atom_site_fract_z
Tb1 Tb 0.000 0.000 0.000
Tb2 Tb 0.500 0.500 0.000
U1 U 0.000 0.500 0.500
Pa1 Pa 0.500 0.000 0.500
As1 As 0.249 0.000 0.747
As2 As 0.251 0.500 0.253
```

Crystal system ... monoclinic
DFT formation energy ... -934 kJ/mol of formula units
Total magnetization ... 3.24 μB per formula unit

=====

Computed, not measured: Nd3GaP2Rh9 after structural relaxation at the PBE level of DFT.

The structure in CIF format:
```
data_Nd3GaP2Rh9
_space_group_name_H-M_alt 'P -3 m 1'
_space_group_IT_number 164
_space_group_name_Hall '-P 3 2"'
_cell_length_a 6.4810
_cell_length_b 6.4810
_cell_length_c 7.6331
_cell_angle_alpha 90.00
_cell_angle_beta 90.00
_cell_angle_gamma 120.00
loop_
_atom_site_label
_atom_site_type_symbol
_atom_site_fract_x
_atom_site_fract_y
_atom_site_fract_z
Nd1 Nd 0.0000 0.0000 0.0000
Nd2 Nd 0.3333 0.6667 0.6610
Ga1 Ga 0.0000 0.0000 0.5000
P1 P 0.3333 0.6667 0.1580
Rh1 Rh 0.0000 0.5000 0.0000
Rh2 Rh 0.1751 0.3502 0.3281
```

Crystal system ... trigonal
DFT formation energy ... -881 kJ/mol of formula units
Total magnetization ... 0.00 μB per formula unit

=====

Computed, not measured: Pm2Nd3YSe6 after structural relaxation at the PBE level of DFT.

The structure in CIF format:
```
data_Pm2Nd3YSe6
_space_group_name_H-M_alt 'C 1 2/m 1'
_space_group_IT_number 12
_space_group_name_Hall '-C 2y'
_cell_length_a 7.239
_cell_length_b 12.601
_cell_length_c 7.283
_cell_angle_alpha 90.00
_cell_angle_beta 109.43
_cell_angle_gamma 90.00
loop_
_atom_site_label
_atom_site_type_symbol
_atom_site_fract_x
_atom_site_fract_y
_atom_site_fract_z
Pm1 Pm 0.000 0.167 0.000
Nd1 Nd 0.000 0.000 0.500
Nd2 Nd 0.000 0.329 0.500
Y1 Y 0.000 0.500 0.000
Se1 Se 0.244 0.337 0.242
Se2 Se 0.245 0.500 0.754
```

Energy relative to the elements, uncorrected ... -1.828 eV per atom
Crystal system ... monoclinic
Total magnetization ... 0.00 μB per formula unit